1.
An optimized crystal structure of NdCu4Au8. Source: the Alexandria database, functional PBE.

Cell: 7.0458 7.0458 7.0458 Å, 98.21 98.21 135.59°
With the nearest neighbours (Å) after each atom.
Fractional positions:
Nd1 0.0000 0.0000 0.0000  12 Au 3.13-3.35
Cu1 0.0000 0.0000 0.5000  2 Cu 2.66, 8 Au 2.68-2.79
Cu2 0.0000 0.5000 0.0000  2 Cu 2.66, 8 Au 2.68-2.79
Cu3 0.5000 0.0000 0.0000  2 Cu 2.66, 8 Au 2.68-2.79
Cu4 0.5000 0.5000 0.5000  2 Cu 2.66, 8 Au 2.68-2.79
Au1 0.0000 0.3391 0.3391  4 Cu 2.79, 5 Au 2.88-2.98
Au2 0.0000 0.6609 0.6609  4 Cu 2.79, 5 Au 2.88-2.98
Au3 0.2804 0.5000 0.7804  4 Cu 2.68, 6 Au 2.87-2.98
Au4 0.3391 0.0000 0.3391  4 Cu 2.79, 5 Au 2.88-2.98
Au5 0.5000 0.2804 0.7804  4 Cu 2.68, 6 Au 2.87-2.98
Au6 0.5000 0.7196 0.2196  4 Cu 2.68, 6 Au 2.87-2.98
Au7 0.6609 0.0000 0.6609  4 Cu 2.79, 5 Au 2.88-2.98
Au8 0.7196 0.5000 0.2196  4 Cu 2.68, 6 Au 2.87-2.98

Output
For the formation enthalpy at 0 K, the calculation gives -0.254 eV/atom.

***

2.
An optimized crystal structure of TiGaC3. Source: the Alexandria database, functional PBE.

Cell: 4.0854 4.0854 4.0854 Å, 90.00 90.00 90.00°
With the nearest neighbours (Å) after each atom.
Fractional positions:
Ti1 0.0000 0.0000 0.0000  6 C 2.04
Ga1 0.5000 0.5000 0.5000  12 C 2.89
C1 0.0000 0.0000 0.5000  2 Ti 2.04
C2 0.0000 0.5000 0.0000  2 Ti 2.04
C3 0.5000 0.0000 0.0000  2 Ti 2.04

Output
As for the energy above the most stable polymorph in this dataset: 0 meV/atom. For the formation enthalpy at 0 K, the calculation gives 1.842 eV/atom.

***

3.
An optimized crystal structure of LaHo4Sc. Source: the Alexandria database, functional PBE.

Cell: 3.4007 5.6981 9.8935 Å, 90.00 90.00 90.00°
With the nearest neighbours (Å) after each atom.
Fractional positions:
La1 0.0000 0.0000 0.0000  2 La 3.40, 8 Ho 3.48-3.62
Ho1 0.0000 0.5000 0.2025  2 Sc 3.40, 6 Ho 3.40-3.53, 2 La 3.48
Ho2 0.0000 0.5000 0.7975  2 Sc 3.40, 6 Ho 3.40-3.53, 2 La 3.48
Ho3 0.5000 0.0000 0.3232  2 Sc 3.34, 7 Ho 3.40-3.53, 2 La 3.62
Ho4 0.5000 0.0000 0.6768  2 Sc 3.34, 7 Ho 3.40-3.53, 2 La 3.62
Sc1 0.5000 0.5000 0.5000  8 Ho 3.34-3.40, 2 Sc 3.40

Output
As for the energy above the most stable polymorph in this dataset: 0 meV/atom. For the formation enthalpy at 0 K, the calculation gives 0.204 eV/atom.

***

4.
An optimized crystal structure of Co2ReTc. Source: the Alexandria database, functional PBE.

Cell: 2.6119 4.1881 4.5614 Å, 90.00 90.00 90.00°
With the nearest neighbours (Å) after each atom.
Fractional positions:
Co1 0.0000 0.0000 0.0000  4 Co 2.54-2.61, 4 Tc 2.56-2.70, 4 Re 2.59
Co2 0.0000 0.5000 0.3169  4 Co 2.54-2.61, 4 Re 2.57-2.68, 4 Tc 2.58
Re1 0.5000 0.5000 0.8307  8 Co 2.57-2.68, 2 Re 2.61, 2 Tc 2.63
Tc1 0.5000 0.0000 0.4818  8 Co 2.56-2.70, 2 Tc 2.61, 2 Re 2.63

Output
As for the energy above the most stable polymorph in this dataset: 0 meV/atom. For the formation enthalpy at 0 K, the calculation gives -0.061 eV/atom.

***

5.
An optimized crystal structure of SrW2Au2. Source: the Alexandria database, functional PBE.

Cell: 6.0212 6.0212 6.0212 Å, 132.82 132.82 68.93°
With the nearest neighbours (Å) after each atom.
Fractional positions:
Sr1 0.0000 0.0000 0.0000  8 Au 3.46, 10 W 3.60-3.80
W1 0.3832 0.3832 0.0000  1 W 2.32
W2 0.6168 0.6168 0.0000  1 W 2.32
Au1 0.2500 0.7500 0.5000  4 W 2.75
Au2 0.7500 0.2500 0.5000  4 W 2.75

Output
As for the energy above the most stable polymorph in this dataset: 141 meV/atom. For the formation enthalpy at 0 K, the calculation gives 0.590 eV/atom.

***

6.
An optimized crystal structure of PdRhO2. Source: the Alexandria database, functional PBE.

Cell: 5.9176 5.9176 5.9176 Å, 33.50 33.50 33.50°
With the nearest neighbours (Å) after each atom.
Fractional positions:
Pd1 0.0000 0.0000 0.0000  4 O 2.14-2.22
Rh1 0.4894 0.4894 0.4894  4 O 1.95-2.03
O1 0.1277 0.1277 0.1277  3 Rh 2.03, 1 Pd 2.14
O2 0.6059 0.6059 0.6059  1 Rh 1.95

Output
The calculation puts the total energy at -22.3 eV for the cell shown.

***

7.
An optimized crystal structure of K2Li3RuF12. Source: the Alexandria database, functional PBE.

Cell: 7.8121 7.8121 7.8121 Å, 52.75 52.75 52.75°
With the nearest neighbours (Å) after each atom.
Fractional positions:
K1 0.0918 0.0918 0.0918  3 F 2.72
K2 0.9082 0.9082 0.9082  3 F 2.72
Li1 0.0000 0.5000 0.5000  4 F 1.92
Li2 0.5000 0.0000 0.5000  4 F 1.92
Li3 0.5000 0.5000 0.0000  4 F 1.92
Ru1 0.5000 0.5000 0.5000  6 F 1.90
F1 0.1713 0.1713 0.5807  2 Li 1.92
F2 0.1713 0.5807 0.1713  2 Li 1.92
F3 0.1857 0.5773 0.5773  1 Ru 1.90
F4 0.4193 0.8287 0.8287  2 Li 1.92
F5 0.4227 0.4227 0.8143  1 Ru 1.90
F6 0.4227 0.8143 0.4227  1 Ru 1.90
F7 0.5773 0.1857 0.5773  1 Ru 1.90
F8 0.5773 0.5773 0.1857  1 Ru 1.90
F9 0.5807 0.1713 0.1713  2 Li 1.92
F10 0.8143 0.4227 0.4227  1 Ru 1.90
F11 0.8287 0.4193 0.8287  2 Li 1.92
F12 0.8287 0.8287 0.4193  2 Li 1.92

Output
The calculation puts the total energy at -78.1 eV for the cell shown.

***

8.
An optimized crystal structure of Si2AgW. Source: the Alexandria database, functional PBE.

Cell: 4.6966 4.6966 2.7720 Å, 90.00 90.00 95.35°
With the nearest neighbours (Å) after each atom.
Fractional positions:
Si1 0.0000 0.5000 0.0000  4 W 2.73, 4 Ag 2.73, 2 Si 2.77
Si2 0.5000 0.0000 0.0000  4 W 2.73, 4 Ag 2.73, 2 Si 2.77
Ag1 0.0000 0.0000 0.5000  8 Si 2.73, 2 Ag 2.77
W1 0.5000 0.5000 0.5000  8 Si 2.73, 2 W 2.77

Output
As for the energy above the most stable polymorph in this dataset: 158 meV/atom.

***

9.
An optimized crystal structure of PuHf4Zr3. Source: the Alexandria database, functional PBE.

Cell: 5.4965 6.3570 6.3853 Å, 60.21 73.34 89.98°
With the nearest neighbours (Å) after each atom.
Fractional positions:
Pu1 0.0000 0.0000 0.0000  6 Zr 3.18, 6 Hf 3.19-3.21
Hf1 0.0000 0.0000 0.5000  6 Hf 3.16-3.18, 2 Pu 3.19, 4 Zr 3.19-3.20
Hf2 0.0000 0.5000 0.5000  6 Hf 3.17-3.19, 4 Zr 3.19, 2 Pu 3.20
Hf3 0.4970 0.7490 0.5031  6 Hf 3.16-3.19, 5 Zr 3.17-3.21, 1 Pu 3.21
Hf4 0.5030 0.2510 0.4969  6 Hf 3.16-3.19, 5 Zr 3.17-3.21, 1 Pu 3.21
Zr1 0.0000 0.5000 0.0000  4 Zr 3.17, 6 Hf 3.17-3.20, 2 Pu 3.18
Zr2 0.5003 0.2514 0.0001  4 Zr 3.16-3.20, 6 Hf 3.18-3.21, 2 Pu 3.18
Zr3 0.4997 0.7486 0.9999  4 Zr 3.16-3.20, 6 Hf 3.18-3.21, 2 Pu 3.18

Output
As for the energy above the most stable polymorph in this dataset: 27 meV/atom. For the formation enthalpy at 0 K, the calculation gives 0.071 eV/atom.

***

10.
An optimized crystal structure of Ta2SnTeAu. Source: the Alexandria database, functional PBE.

Cell: 5.1333 5.1333 5.4498 Å, 90.00 90.00 90.00°
With the nearest neighbours (Å) after each atom.
Fractional positions:
Ta1 0.0000 0.5000 0.0000  2 Sn 2.57
Ta2 0.5000 0.0000 0.0000  2 Sn 2.57
Sn1 0.0000 0.0000 0.0000  4 Ta 2.57, 2 Te 2.72
Te1 0.0000 0.0000 0.5000  2 Sn 2.72
Au1 0.5000 0.5000 0.5000  4 Te 3.63, 8 Ta 3.74

Output
The calculation puts the total energy at -24.4 eV for the cell shown.

***

11.
An optimized crystal structure of K2InPb4Au3. Source: the Alexandria database, functional PBE.

Cell: 5.0145 5.0145 12.1115 Å, 90.00 90.00 90.00°
With the nearest neighbours (Å) after each atom.
Fractional positions:
K1 0.0000 0.5000 0.2467  8 Pb 3.78-3.96, 6 Au 3.85-3.90, 2 In 3.90
K2 0.5000 0.0000 0.7533  8 Pb 3.78-3.96, 6 Au 3.85-3.90, 2 In 3.90
In1 0.5000 0.5000 0.0000  4 Pb 3.01
Pb1 0.0000 0.0000 0.5000  4 Au 2.95
Pb2 0.0000 0.5000 0.8624  3 Au 2.83-3.01, 2 In 3.01
Pb3 0.5000 0.0000 0.1376  3 Au 2.83-3.01, 2 In 3.01
Pb4 0.5000 0.5000 0.5000  4 Au 2.95
Au1 0.0000 0.0000 0.0000  4 Pb 3.01
Au2 0.0000 0.5000 0.6289  5 Pb 2.83-2.95
Au3 0.5000 0.0000 0.3711  5 Pb 2.83-2.95

Output
For the formation enthalpy at 0 K, the calculation gives -0.170 eV/atom.

***

12.
An optimized crystal structure of RbMg6TiO8. Source: the Alexandria database, functional PBE.

Cell: 4.5198 4.5198 8.8383 Å, 90.00 90.00 90.00°
With the nearest neighbours (Å) after each atom.
Fractional positions:
Rb1 0.0000 0.0000 0.0000  6 O 2.26-2.49
Mg1 0.0000 0.0000 0.5000  2 O 1.93
Mg2 0.0000 0.5000 0.2606  6 O 2.12-2.30
Mg3 0.0000 0.5000 0.7394  6 O 2.12-2.30
Mg4 0.5000 0.0000 0.2606  6 O 2.12-2.30
Mg5 0.5000 0.0000 0.7394  6 O 2.12-2.30
Mg6 0.5000 0.5000 0.5000  6 O 2.26
Ti1 0.5000 0.5000 0.0000  6 O 2.16-2.26
O1 0.0000 0.0000 0.2819  1 Mg 1.93
O2 0.0000 0.0000 0.7181  1 Mg 1.93
O3 0.0000 0.5000 0.0000  2 Rb 2.26, 2 Ti 2.26, 2 Mg 2.30
O4 0.0000 0.5000 0.5000  6 Mg 2.12-2.26
O5 0.5000 0.0000 0.0000  2 Rb 2.26, 2 Ti 2.26, 2 Mg 2.30
O6 0.5000 0.0000 0.5000  6 Mg 2.12-2.26
O7 0.5000 0.5000 0.2440  1 Ti 2.16, 5 Mg 2.26
O8 0.5000 0.5000 0.7560  1 Ti 2.16, 5 Mg 2.26

Output
As for the energy above the most stable polymorph in this dataset: 17 meV/atom.

***

13.
An optimized crystal structure of ScCuBiO4. Source: the Alexandria database, functional PBE.

Cell: 5.5571 5.5571 7.0100 Å, 90.00 90.00 111.12°
With the nearest neighbours (Å) after each atom.
Fractional positions:
Sc1 0.1414 0.8586 0.7500  4 O 1.98-2.04
Sc2 0.8586 0.1414 0.2500  4 O 1.98-2.04
Cu1 0.1787 0.8213 0.2500  2 O 1.90
Cu2 0.8213 0.1787 0.7500  2 O 1.90
Bi1 0.5000 0.5000 0.0000  6 O 2.31-2.38
Bi2 0.5000 0.5000 0.5000  6 O 2.31-2.38
O1 0.2403 0.2492 0.7500  1 Sc 2.04, 1 Cu 2.22
O2 0.2483 0.7517 0.5047  1 Cu 1.90, 1 Sc 1.98
O3 0.2483 0.7517 0.9953  1 Cu 1.90, 1 Sc 1.98
O4 0.2492 0.2403 0.2500  1 Sc 2.04, 1 Cu 2.22
O5 0.7508 0.7597 0.7500  1 Sc 2.04, 1 Cu 2.22
O6 0.7517 0.2483 0.0047  1 Cu 1.90, 1 Sc 1.98
O7 0.7517 0.2483 0.4953  1 Cu 1.90, 1 Sc 1.98
O8 0.7597 0.7508 0.2500  1 Sc 2.04, 1 Cu 2.22

Output
The calculation puts the total energy at -91.5 eV for the cell shown.

***

14.
An optimized crystal structure of CrCu4Pd5. Source: the Alexandria database, functional PBE.

Cell: 2.7481 2.7481 18.1725 Å, 90.00 90.00 90.00°
With the nearest neighbours (Å) after each atom.
Fractional positions:
Cr1 0.0000 0.0000 0.0000  8 Pd 2.64, 4 Cr 2.75
Cu1 0.0000 0.0000 0.2010  8 Pd 2.65-2.70, 4 Cu 2.75
Cu2 0.0000 0.0000 0.4002  8 Pd 2.66, 4 Cu 2.75
Cu3 0.0000 0.0000 0.5998  8 Pd 2.66, 4 Cu 2.75
Cu4 0.0000 0.0000 0.7990  8 Pd 2.65-2.70, 4 Cu 2.75
Pd1 0.5000 0.5000 0.0980  4 Cr 2.64, 4 Cu 2.70, 4 Pd 2.75
Pd2 0.5000 0.5000 0.3000  8 Cu 2.65-2.66, 4 Pd 2.75
Pd3 0.5000 0.5000 0.5000  8 Cu 2.66, 4 Pd 2.75
Pd4 0.5000 0.5000 0.7000  8 Cu 2.65-2.66, 4 Pd 2.75
Pd5 0.5000 0.5000 0.9020  4 Cr 2.64, 4 Cu 2.70, 4 Pd 2.75

Output
For the formation enthalpy at 0 K, the calculation gives -0.060 eV/atom.

***

15.
An optimized crystal structure of Rb3TaRe. Source: the Alexandria database, functional PBE.

Cell: 6.8971 6.8971 6.8971 Å, 90.00 90.00 90.00°
With the nearest neighbours (Å) after each atom.
Fractional positions:
Rb1 0.0000 0.0000 0.5000  2 Ta 3.45
Rb2 0.0000 0.5000 0.0000  2 Ta 3.45
Rb3 0.5000 0.0000 0.0000  2 Ta 3.45
Ta1 0.0000 0.0000 0.0000  6 Rb 3.45
Re1 0.5000 0.5000 0.5000  12 Rb 4.88

Output
As for the energy above the most stable polymorph in this dataset: 0 meV/atom. For the formation enthalpy at 0 K, the calculation gives 2.622 eV/atom.

***

16.
An optimized crystal structure of TaCdSb2I. Source: the Alexandria database, functional PBE.

Cell: 5.3659 5.3659 5.7666 Å, 90.00 90.00 90.00°
With the nearest neighbours (Å) after each atom.
Fractional positions:
Ta1 0.0000 0.0000 0.0000  4 Sb 2.68, 2 I 2.88
Cd1 0.5000 0.5000 0.5000  4 I 3.79, 8 Sb 3.94
Sb1 0.0000 0.5000 0.0000  2 Ta 2.68
Sb2 0.5000 0.0000 0.0000  2 Ta 2.68
I1 0.0000 0.0000 0.5000  2 Ta 2.88

Output
As for the energy above the most stable polymorph in this dataset: 0 meV/atom.

***

17.
An optimized crystal structure of CdP. Source: the Alexandria database, functional PBE.

Cell: 5.8453 7.6456 7.8842 Å, 90.00 90.00 90.00°
With the nearest neighbours (Å) after each atom.
Fractional positions:
Cd1 0.0441 0.1332 0.1397  4 P 2.58-2.89
Cd2 0.0441 0.3668 0.6397  4 P 2.58-2.89
Cd3 0.4559 0.6332 0.1397  4 P 2.58-2.89
Cd4 0.4559 0.8668 0.6397  4 P 2.58-2.89
Cd5 0.5441 0.1332 0.3603  4 P 2.58-2.89
Cd6 0.5441 0.3668 0.8603  4 P 2.58-2.89
Cd7 0.9559 0.6332 0.3603  4 P 2.58-2.89
Cd8 0.9559 0.8668 0.8603  4 P 2.58-2.89
P1 0.1248 0.5589 0.9111  1 P 2.22
P2 0.1248 0.9411 0.4111  1 P 2.22
P3 0.3752 0.0589 0.9111  1 P 2.22
P4 0.3752 0.4411 0.4111  1 P 2.22
P5 0.6248 0.5589 0.5889  1 P 2.22
P6 0.6248 0.9411 0.0889  1 P 2.22
P7 0.8752 0.0589 0.5889  1 P 2.22
P8 0.8752 0.4411 0.0889  1 P 2.22

Output
As for the energy above the most stable polymorph in this dataset: 0 meV/atom. For the formation enthalpy at 0 K, the calculation gives -0.042 eV/atom.

***

18.
An optimized crystal structure of CaLaTb2In4. Source: the Alexandria database, functional PBE.

Cell: 9.4671 9.4671 9.4671 Å, 33.24 33.24 33.24°
With the nearest neighbours (Å) after each atom.
Fractional positions:
Ca1 0.0000 0.0000 0.0000  8 In 3.31-3.33
La1 0.5000 0.5000 0.5000  8 In 3.33-3.38
Tb1 0.2522 0.2522 0.2522  8 In 3.27-3.43
Tb2 0.7478 0.7478 0.7478  8 In 3.27-3.43
In1 0.1241 0.1241 0.1241  1 Ca 3.33, 3 La 3.33, 4 Tb 3.33-3.43
In2 0.3741 0.3741 0.3741  4 Tb 3.27-3.31, 3 Ca 3.31, 1 La 3.38
In3 0.6259 0.6259 0.6259  4 Tb 3.27-3.31, 3 Ca 3.31, 1 La 3.38
In4 0.8759 0.8759 0.8759  1 Ca 3.33, 3 La 3.33, 4 Tb 3.33-3.43

Output
For the formation enthalpy at 0 K, the calculation gives -0.472 eV/atom.

***

19.
An optimized crystal structure of RbLiNd2Cl8. Source: the Alexandria database, functional PBE.

Cell: 6.8126 8.6610 6.8606 Å, 90.00 97.17 90.00°
With the nearest neighbours (Å) after each atom.
Fractional positions:
Rb1 0.0000 0.0000 0.0000  6 Cl 3.14-3.40
Li1 0.0000 0.5000 0.0000  4 Cl 2.57
Nd1 0.5000 0.2598 0.5000  6 Cl 2.70-2.84
Nd2 0.5000 0.7402 0.5000  6 Cl 2.70-2.84
Cl1 0.2110 0.2936 0.1955  1 Li 2.57, 1 Nd 2.70
Cl2 0.2110 0.7064 0.1955  1 Li 2.57, 1 Nd 2.70
Cl3 0.3117 0.5000 0.6729  2 Nd 2.79
Cl4 0.3228 0.0000 0.6593  2 Nd 2.84
Cl5 0.6772 0.0000 0.3407  2 Nd 2.84
Cl6 0.6883 0.5000 0.3271  2 Nd 2.79
Cl7 0.7890 0.2936 0.8045  1 Li 2.57, 1 Nd 2.70
Cl8 0.7890 0.7064 0.8045  1 Li 2.57, 1 Nd 2.70

Output
The calculation puts the total energy at -52.5 eV for the cell shown.

***

20.
An optimized crystal structure of DyHoMn. Source: the Alexandria database, functional PBE.

Cell: 6.7737 6.7737 6.7737 Å, 150.31 150.31 42.49°
With the nearest neighbours (Å) after each atom.
Fractional positions:
Dy1 0.0000 0.0000 0.0000  4 Mn 3.01
Ho1 0.2732 0.2732 0.0000  4 Mn 2.99
Mn1 0.6374 0.6374 0.0000  4 Ho 2.99, 4 Dy 3.01

Output
As for the energy above the most stable polymorph in this dataset: 0 meV/atom. For the formation enthalpy at 0 K, the calculation gives 0.143 eV/atom.